Entry 1:
The following is a DFT calculation (PBE) of TcHgW2 after structural relaxation.

Computed properties:
formation energy: 0.5685 eV per atom
E: -0.630 Ry per atom

a = 9.6643 Å, b = 2.9885 Å, c = 4.7508 Å
α = 90.00°, β = 103.38°, γ = 90.00°
Space group C2/m (No. 12)
Unique sites:
Tc 0.0000 0.0000 0.0000
Hg 0.0000 0.5000 0.5000
W 0.2401 0.5000 0.2297


Entry 2:
The following is a DFT calculation (PBE) of SmUSb2 after structural relaxation.

Computed properties:
ΔE_f (raw): -493 meV per atom
E: -0.482 Ry per atom

a = 5.7283 Å, b = 5.7283 Å, c = 3.2712 Å
α = 90.00°, β = 90.00°, γ = 90.00°
Space group P4/mmm (No. 123)
Unique sites:
Sm 0.0000 0.0000 0.0000
U 0.5000 0.5000 0.0000
Sb 0.0000 0.5000 0.5000